(1)
# PBE-GGA K2Na2Rh, relaxed
data_K2Na2Rh
_cell_length_a 7.605
_cell_length_b 7.605
_cell_length_c 5.950
_cell_angle_alpha 90.00
_cell_angle_beta 90.00
_cell_angle_gamma 90.00
_symmetry_space_group_name_H-M 'P 4/m b m'
_symmetry_Int_Tables_number 127
_symmetry_space_group_name_Hall '-P 4 2ab'
loop_
_atom_site_label
_atom_site_type_symbol
_atom_site_fract_x
_atom_site_fract_y
_atom_site_fract_z
K1 K 0.195 0.305 0.000
Na1 Na 0.157 0.657 0.500
Rh1 Rh 0.000 0.000 0.500
# Raw total energy, eV/atom: -2.012
# Formation energy from the elements, meV per atom: 425
# E above lowest polymorph, meV/atom: 0

=====

(2)
# PBE-GGA TlInSi, relaxed
data_TlInSi
_cell_length_a 4.9789
_cell_length_b 4.9789
_cell_length_c 3.4548
_cell_angle_alpha 90.00
_cell_angle_beta 90.00
_cell_angle_gamma 120.00
_symmetry_space_group_name_H-M 'P 3 m 1'
_symmetry_Int_Tables_number 156
loop_
_symmetry_equiv_pos_as_xyz
'x,y,z'
'-y,x-y,z'
'-x+y,-x,z'
'-y,-x,z'
'-x+y,y,z'
'x,x-y,z'
loop_
_atom_site_label
_atom_site_type_symbol
_atom_site_fract_x
_atom_site_fract_y
_atom_site_fract_z
Tl1 Tl 0.0000 0.0000 0.0000
In1 In 0.3333 0.6667 0.4987
Si1 Si 0.6667 0.3333 0.5048
# Raw total energy, eV/atom: -3.143
# Uncorrected formation energy, eV/f.u.: 1.1
# E above lowest polymorph, meV/atom: 58

=====

(3)
# PBE-GGA Tb4Er5Ag, relaxed
data_Tb4Er5Ag
_cell_length_a 3.529
_cell_length_b 3.529
_cell_length_c 23.874
_cell_angle_alpha 90.00
_cell_angle_beta 90.00
_cell_angle_gamma 90.00
_symmetry_space_group_name_H-M 'P 4/m m m'
_symmetry_Int_Tables_number 123
_symmetry_space_group_name_Hall '-P 4 2'
loop_
_atom_site_label
_atom_site_type_symbol
_atom_site_fract_x
_atom_site_fract_y
_atom_site_fract_z
Tb1 Tb 0.000 0.000 0.105
Tb2 Tb 0.000 0.000 0.314
Er1 Er 0.500 0.500 0.000
Er2 Er 0.500 0.500 0.210
Er3 Er 0.500 0.500 0.421
Ag1 Ag 0.000 0.000 0.500
# Raw total energy, eV/atom: -4.462
# Formation energy from the elements, meV per atom: -43

=====

(4)
# PBE-GGA ScCr3Ir, relaxed
data_ScCr3Ir
_cell_length_a 4.695
_cell_length_b 4.695
_cell_length_c 4.695
_cell_angle_alpha 90.00
_cell_angle_beta 90.00
_cell_angle_gamma 90.00
_symmetry_space_group_name_H-M 'P m -3 m'
_symmetry_Int_Tables_number 221
_symmetry_space_group_name_Hall '-P 4 2 3'
loop_
_atom_site_label
_atom_site_type_symbol
_atom_site_fract_x
_atom_site_fract_y
_atom_site_fract_z
Sc1 Sc 0.000 0.000 0.000
Cr1 Cr 0.000 0.500 0.500
Ir1 Ir 0.500 0.500 0.500
# Raw total energy, eV/atom: -7.872
# Formation energy from the elements, meV per atom: 940
# E above lowest polymorph, meV/atom: 0

=====

(5)
# PBE-GGA CrCdNi2, relaxed
data_CrCdNi2
_cell_length_a 2.952
_cell_length_b 2.952
_cell_length_c 6.274
_cell_angle_alpha 90.00
_cell_angle_beta 90.00
_cell_angle_gamma 90.00
_symmetry_space_group_name_H-M 'P 4/m m m'
_symmetry_Int_Tables_number 123
_symmetry_space_group_name_Hall '-P 4 2'
loop_
_atom_site_label
_atom_site_type_symbol
_atom_site_fract_x
_atom_site_fract_y
_atom_site_fract_z
Cr1 Cr 0.000 0.000 0.000
Cd1 Cd 0.000 0.000 0.500
Ni1 Ni 0.500 0.500 0.209
# Raw total energy, eV/atom: -5.417
# Formation energy from the elements, meV per atom: 108

=====

(6)
# PBE-GGA BaRe2Cl, relaxed
data_BaRe2Cl
_cell_length_a 6.856
_cell_length_b 6.856
_cell_length_c 6.856
_cell_angle_alpha 90.00
_cell_angle_beta 90.00
_cell_angle_gamma 90.00
_symmetry_space_group_name_H-M 'F m -3 m'
_symmetry_Int_Tables_number 225
_symmetry_space_group_name_Hall '-F 4 2 3'
loop_
_atom_site_label
_atom_site_type_symbol
_atom_site_fract_x
_atom_site_fract_y
_atom_site_fract_z
Ba1 Ba 0.000 0.000 0.000
Re1 Re 0.250 0.250 0.250
Cl1 Cl 0.000 0.000 0.500
# Raw total energy, eV/atom: -4.895
# Uncorrected formation energy, eV/f.u.: 9.1
# E above lowest polymorph, meV/atom: 2158

=====

(7)
# PBE-GGA NdYPuSc, relaxed
data_NdYPuSc
_cell_length_a 7.823
_cell_length_b 7.823
_cell_length_c 7.823
_cell_angle_alpha 90.00
_cell_angle_beta 90.00
_cell_angle_gamma 90.00
_symmetry_space_group_name_H-M 'F -4 3 m'
_symmetry_Int_Tables_number 216
_symmetry_space_group_name_Hall 'F -4 2 3'
loop_
_atom_site_label
_atom_site_type_symbol
_atom_site_fract_x
_atom_site_fract_y
_atom_site_fract_z
Nd1 Nd 0.000 0.000 0.000
Y1 Y 0.250 0.250 0.750
Pu1 Pu 0.000 0.000 0.500
Sc1 Sc 0.250 0.250 0.250
# Raw total energy, eV/atom: -7.765
# Formation energy from the elements, meV per atom: 209

=====

(8)
# PBE-GGA HoRuN, relaxed
data_HoRuN
_cell_length_a 16.395
_cell_length_b 3.414
_cell_length_c 3.414
_cell_angle_alpha 90.00
_cell_angle_beta 90.00
_cell_angle_gamma 90.00
_symmetry_space_group_name_H-M 'P n m a'
_symmetry_Int_Tables_number 62
loop_
_symmetry_equiv_pos_as_xyz
'x,y,z'
'-x,-y,-z'
'-x+1/2,-y,z+1/2'
'x+1/2,y,-z+1/2'
'x+1/2,-y+1/2,-z+1/2'
'-x+1/2,y+1/2,z+1/2'
'-x,y+1/2,-z'
'x,-y+1/2,z'
loop_
_atom_site_label
_atom_site_type_symbol
_atom_site_fract_x
_atom_site_fract_y
_atom_site_fract_z
Ho1 Ho 0.173 0.250 0.245
Ru1 Ru 0.000 0.250 0.750
N1 N 0.186 0.750 0.745
# Raw total energy, eV/atom: -7.799
# Uncorrected formation energy, eV/f.u.: -1.2